Record 1
Here is an optimized crystal structure of MnRe2W from the Alexandria database. Energies are from PBE.

Results
Its space-group type is No. 123. As for the formation energy: 0.0466 eV per atom. The crystal system is tetragonal. As for the density of states at the Fermi level: 2.33 states/eV per cell.

Cell lengths 4.3309, 4.3309, 3.1541 Å; angles 90.00, 90.00, 90.00 degrees
Closest atoms and distances in Å follow each position.
Atoms (fractional coordinates):
Mn (0.0000, 0.0000, 0.0000)  8 Re 2.68
Re (0.0000, 0.5000, 0.5000)  4 Mn 2.68, 4 W 2.68
Re (0.5000, 0.0000, 0.5000)  4 Mn 2.68, 4 W 2.68
W (0.5000, 0.5000, 0.0000)  8 Re 2.68

Record 2
Here is an optimized crystal structure of MnRe2W from the Alexandria database. Energies are from PBE.

Results
Its space-group type is No. 216. As for the formation energy: 0.1292 eV per atom. The crystal system is cubic. As for the density of states at the Fermi level: 3.72 states/eV per cell.

Cell lengths 4.3687, 4.3687, 4.3687 Å; angles 60.00, 60.00, 60.00 degrees
Closest atoms and distances in Å follow each position.
Atoms (fractional coordinates):
Mn (0.0000, 0.0000, 0.0000)  4 Re 2.68, 4 W 2.68
Re (0.5000, 0.5000, 0.5000)  4 W 2.68, 4 Re 2.68
Re (0.7500, 0.7500, 0.7500)  4 Mn 2.68, 4 Re 2.68
W (0.2500, 0.2500, 0.2500)  4 Mn 2.68, 4 Re 2.68

Record 3
Here is an optimized crystal structure of Mn2ReW from the Alexandria database. Energies are from PBE.

Results
Its space-group type is No. 35. As for the formation energy: 0.1696 eV per atom. The crystal system is orthorhombic. As for the density of states at the Fermi level: 4.19 states/eV per cell.

Cell lengths 2.6558, 2.6558, 8.1879 Å; angles 90.00, 90.00, 107.94 degrees
Closest atoms and distances in Å follow each position.
Atoms (fractional coordinates):
Mn (0.0000, 0.0000, 0.0000)  6 Mn 2.44-2.66, 2 W 2.57
Mn (0.5000, 0.5000, 0.2285)  6 Mn 2.44-2.66, 2 Re 2.54
Re (0.0000, 0.0000, 0.4728)  2 Mn 2.54, 4 Re 2.66, 2 W 2.76
W (0.5000, 0.5000, 0.7504)  2 Mn 2.57, 4 W 2.66, 2 Re 2.76